The following is a DFT calculation (GGA-PBEsol) of crystalline AlPS4 at its relaxed geometry.

Computed properties:
formation energy from raw total energies = -0.57 eV/atom
N(E_F) = 0.00 states/eV per cell
symmetry = P-42c, No. 112

Unit cell a=5.7094 b=5.7094 c=8.7124 alpha=90.00 beta=90.00 gamma=90.00
With the nearest neighbours (Å) after each atom.
Fractional positions:
1 Al 0.5000 0.5000 0.2500  4 S 2.26
2 Al 0.5000 0.5000 0.7500  4 S 2.26
3 S 0.7763 0.2989 0.8816  1 P 2.07, 1 Al 2.26
4 S 0.2237 0.2989 0.6184  1 P 2.07, 1 Al 2.26
5 P 0.5000 0.0000 0.2500  4 S 2.07
6 S 0.2989 0.7763 0.3816  1 P 2.07, 1 Al 2.26
7 S 0.7011 0.7763 0.1184  1 P 2.07, 1 Al 2.26
8 S 0.2237 0.7011 0.8816  1 P 2.07, 1 Al 2.26
9 S 0.2989 0.2237 0.1184  1 P 2.07, 1 Al 2.26
10 S 0.7011 0.2237 0.3816  1 P 2.07, 1 Al 2.26
11 S 0.7763 0.7011 0.6184  1 P 2.07, 1 Al 2.26
12 P 0.0000 0.5000 0.7500  4 S 2.07

***

The following is a DFT calculation (GGA-PBEsol) of crystalline Y2ScRu at its relaxed geometry.

Computed properties:
energy of formation from the pure elements = -0.21 eV/atom
N(E_F) = 3.96 states/eV per cell
symmetry = P4mm, No. 99

Unit cell a=3.2998 b=3.2998 c=8.5837 alpha=90.00 beta=90.00 gamma=90.00
With the nearest neighbours (Å) after each atom.
Fractional positions:
1 Y 0.5000 0.5000 0.9841  8 Y 3.30-3.69, 4 Sc 3.49
2 Ru 0.5000 0.5000 0.5167  4 Sc 2.73, 4 Y 2.90
3 Y 0.0000 0.0000 0.3169  4 Ru 2.90, 1 Sc 3.14
4 Sc 0.0000 0.0000 0.6824  4 Ru 2.73

***

The following is a DFT calculation (GGA-PBEsol) of crystalline Cr2FeP at its relaxed geometry.

Computed properties:
energy of formation from the pure elements = -0.16 eV/atom
N(E_F) = 3.25 states/eV per cell
symmetry = P4mm, No. 99

Unit cell a=2.8051 b=2.8051 c=5.3872 alpha=90.00 beta=90.00 gamma=90.00
With the nearest neighbours (Å) after each atom.
Fractional positions:
1 Fe 0.0000 0.0000 0.5177  4 P 2.34, 5 Cr 2.49-2.57
2 P 0.5000 0.5000 0.7494  4 Fe 2.34, 4 Cr 2.38
3 Cr 0.0000 0.0000 0.9943  4 Cr 2.38, 4 P 2.38, 1 Fe 2.57
4 Cr 0.5000 0.5000 0.2386  4 Cr 2.38, 4 Fe 2.49, 1 P 2.64

***

The following is a DFT calculation (GGA-PBEsol) of crystalline RePt2Pb at its relaxed geometry.

Computed properties:
energy of formation from the pure elements = 0.52 eV/atom
N(E_F) = 4.56 states/eV per cell
symmetry = I4/mmm, No. 139

Unit cell a=4.0510 b=4.0510 c=4.9704 alpha=114.05 beta=114.05 gamma=90.00
With the nearest neighbours (Å) after each atom.
Fractional positions:
1 Pt 0.7500 0.2500 0.5000  4 Pt 2.86, 4 Pb 2.87, 4 Re 2.87
2 Pb 0.0000 0.0000 0.0000  4 Re 2.86, 8 Pt 2.87
3 Re 0.5000 0.5000 0.0000  4 Pb 2.86, 8 Pt 2.87
4 Pt 0.2500 0.7500 0.5000  4 Pt 2.86, 4 Pb 2.87, 4 Re 2.87

***

The following is a DFT calculation (GGA-PBEsol) of crystalline Ce2HfSe5 at its relaxed geometry.

Computed properties:
formation energy from raw total energies = -1.64 eV/atom
N(E_F) = 51.28 states/eV per cell
symmetry = Pnma, No. 62

Unit cell a=7.5056 b=8.3786 c=11.5637 alpha=90.00 beta=90.00 gamma=90.00
With the nearest neighbours (Å) after each atom.
Fractional positions:
1 Ce 0.9351 0.9995 0.8289  8 Se 2.92-3.12
2 Se 0.1416 0.7500 0.6959  1 Hf 2.70
3 Se 0.6833 0.4610 0.0716  2 Hf 2.65-2.79
4 Ce 0.4351 0.0005 0.6711  8 Se 2.92-3.12
5 Se 0.6833 0.0390 0.0716  2 Hf 2.65-2.79
6 Se 0.8167 0.4610 0.5716  2 Hf 2.65-2.79
7 Hf 0.9244 0.7500 0.5102  7 Se 2.65-2.79
8 Se 0.8167 0.0390 0.5716  2 Hf 2.65-2.79
9 Ce 0.5649 0.9995 0.3289  8 Se 2.92-3.12
10 Se 0.4472 0.2500 0.4948  1 Hf 2.79, 4 Ce 2.92-2.98
11 Se 0.3167 0.5390 0.9284  2 Hf 2.65-2.79
12 Se 0.5528 0.7500 0.5052  1 Hf 2.79, 4 Ce 2.92-2.98
13 Ce 0.5649 0.5005 0.3289  8 Se 2.92-3.12
14 Se 0.1833 0.9610 0.4284  2 Hf 2.65-2.79
15 Ce 0.0649 0.0005 0.1711  8 Se 2.92-3.12
16 Ce 0.0649 0.4995 0.1711  8 Se 2.92-3.12
17 Se 0.8584 0.2500 0.3041  1 Hf 2.70
18 Se 0.0528 0.2500 0.9948  1 Hf 2.79, 4 Ce 2.92-2.98
19 Ce 0.4351 0.4995 0.6711  8 Se 2.92-3.12
20 Hf 0.0756 0.2500 0.4898  7 Se 2.65-2.79
21 Se 0.1833 0.5390 0.4284  2 Hf 2.65-2.79
22 Se 0.3584 0.7500 0.1959  1 Hf 2.70
23 Se 0.1575 0.2500 0.7131  1 Hf 2.65
24 Se 0.3167 0.9610 0.9284  2 Hf 2.65-2.79
25 Se 0.9472 0.7500 0.0052  1 Hf 2.79, 4 Ce 2.92-2.98
26 Se 0.3425 0.2500 0.2131  1 Hf 2.65
27 Ce 0.9351 0.5005 0.8289  8 Se 2.92-3.12
28 Hf 0.4244 0.2500 0.9898  7 Se 2.65-2.79
29 Se 0.8425 0.7500 0.2869  1 Hf 2.65
30 Se 0.6416 0.2500 0.8041  1 Hf 2.70
31 Se 0.6575 0.7500 0.7869  1 Hf 2.65
32 Hf 0.5756 0.7500 0.0102  7 Se 2.65-2.79

***

The following is a DFT calculation (GGA-PBEsol) of crystalline InCu2Br at its relaxed geometry.

Computed properties:
formation energy from raw total energies = 0.49 eV/atom
N(E_F) = 1.38 states/eV per cell
symmetry = Fm-3m, No. 225

Unit cell a=4.6966 b=4.6966 c=4.6966 alpha=60.00 beta=60.00 gamma=60.00
With the nearest neighbours (Å) after each atom.
Fractional positions:
1 Cu 0.2500 0.2500 0.2500  4 Br 2.88, 4 In 2.88
2 Cu 0.7500 0.7500 0.7500  4 In 2.88, 4 Br 2.88
3 In 0.5000 0.5000 0.5000  8 Cu 2.88
4 Br 0.0000 0.0000 0.0000  8 Cu 2.88

***

The following is a DFT calculation (GGA-PBEsol) of crystalline MnSiHg2Ge at its relaxed geometry.

Computed properties:
formation energy from raw total energies = 0.64 eV/atom
N(E_F) = 3.18 states/eV per cell
symmetry = P4/mmm, No. 123

Unit cell a=4.3983 b=4.9864 c=4.9864 alpha=90.00 beta=90.00 gamma=90.00
With the nearest neighbours (Å) after each atom.
Fractional positions:
1 Hg 0.0000 0.0000 0.5000  2 Mn 2.49
2 Hg 0.0000 0.5000 0.0000  2 Mn 2.49
3 Ge 0.5000 0.5000 0.5000  8 Hg 3.32, 4 Si 3.53
4 Mn 0.0000 0.0000 0.0000  2 Si 2.20
5 Si 0.5000 0.0000 0.0000  2 Mn 2.20

***

The following is a DFT calculation (GGA-PBEsol) of crystalline K3Y at its relaxed geometry.

Computed properties:
energy of formation from the pure elements = 0.36 eV/atom
N(E_F) = 4.71 states/eV per cell
symmetry = Cmmm, No. 65

Unit cell a=3.8675 b=3.8675 c=14.7859 alpha=90.00 beta=90.00 gamma=114.71
With the nearest neighbours (Å) after each atom.
Fractional positions:
1 K 0.5000 0.5000 0.0000  6 K 3.87-4.17
2 K 0.0000 0.0000 0.2719  6 K 3.87-4.17, 2 Y 3.97
3 K 0.0000 0.0000 0.7281  6 K 3.87-4.17, 2 Y 3.97
4 Y 0.5000 0.5000 0.5000  6 Y 3.87-4.17, 4 K 3.97

***

The evaluated VASP energy for the records listed, in turn: -5.1443, -7.8162, -8.9739, -7.2904, -7.0089, -2.8916, -3.6729, -2.1975 eV/atom.